# PBE NbMoOsW, optimized geometry
data_NbMoOsW
_chemical_formula_sum 'Nb1 Mo1 Os1 W1'
_cell_length_a 4.497
_cell_length_b 4.497
_cell_length_c 4.497
_cell_angle_alpha 60.00
_cell_angle_beta 60.00
_cell_angle_gamma 60.00
_space_group_name_H-M_alt 'P 1'
_space_group_IT_number 1
_space_group_name_Hall 'P 1'
loop_
_atom_site_label
_atom_site_fract_x
_atom_site_fract_y
_atom_site_fract_z
_atom_site_occupancy
Nb1 0.000 0.000 0.000 1
Mo1 0.250 0.250 0.250 1
Os1 0.750 0.750 0.750 1
W1 0.500 0.500 0.500 1
# Mass density (g/cm3): 14.54
# Electronic total energy (eV/atom): -11.33

---

# PBE LiSbTe2W, optimized geometry
data_LiSbTe2W
_chemical_formula_sum 'Li1 Sb1 Te2 W1'
_cell_length_a 5.432
_cell_length_b 5.432
_cell_length_c 5.268
_cell_angle_alpha 90.00
_cell_angle_beta 90.00
_cell_angle_gamma 90.00
_space_group_name_H-M_alt 'P 1'
_space_group_IT_number 1
_space_group_name_Hall 'P 1'
loop_
_atom_site_label
_atom_site_fract_x
_atom_site_fract_y
_atom_site_fract_z
_atom_site_occupancy
Li1 0.000 0.000 0.000 1
Sb1 0.500 0.500 0.000 1
Te1 0.000 0.500 0.500 1
Te2 0.500 0.000 0.500 1
W1 0.500 0.500 0.500 1
# Mass density (g/cm3): 6.07
# Electronic total energy (eV/atom): -4.63
# Formation energy from raw total energies (eV per atom): 0.424

---

# PBE Mg3Si2O9, optimized geometry
data_Mg3Si2O9
_chemical_formula_sum 'Mg3 Si2 O9'
_cell_length_a 5.571
_cell_length_b 5.571
_cell_length_c 7.213
_cell_angle_alpha 94.27
_cell_angle_beta 94.27
_cell_angle_gamma 122.72
_space_group_name_H-M_alt 'P 1'
_space_group_IT_number 1
_space_group_name_Hall 'P 1'
loop_
_atom_site_label
_atom_site_fract_x
_atom_site_fract_y
_atom_site_fract_z
_atom_site_occupancy
Mg1 0.000 0.000 0.000 1
Mg2 0.293 0.677 0.999 1
Mg3 0.677 0.293 0.999 1
Si1 0.210 0.882 0.594 1
Si2 0.882 0.210 0.594 1
O1 0.030 0.030 0.524 1
O2 0.033 0.531 0.521 1
O3 0.257 0.931 0.824 1
O4 0.400 0.400 0.072 1
O5 0.521 0.521 0.906 1
O6 0.531 0.033 0.521 1
O7 0.685 0.996 0.113 1
O8 0.931 0.257 0.824 1
O9 0.996 0.685 0.113 1
# Mass density (g/cm3): 2.44
# Electronic total energy (eV/atom): -6.38
# Formation energy from raw total energies (eV per atom): -2.073

---

- Look up the mass density of the second one.
  6.07 g/cm3